Crystalline TbDy4ErSc2 at its relaxed geometry. Source: the Alexandria database, functional PBE.

Calculated values
Formation enthalpy at 0 K, eV/atom: 0.04
Fermi-level density of states, states/eV/f.u.: 11.06
Space-group type: No. 12

```
TbDy4ErSc2
1.0
6.0175 -3.4753 0.0000
6.0175 3.4753 0.0000
-4.0150 0.0000 11.2815
Tb Dy Er Sc
2 8 2 4
Direct
0.0000 0.5000 0.0000
0.5000 0.0000 0.0000
0.2468 0.2468 0.7408
0.2468 0.7497 0.7467
0.2503 0.2503 0.2536
0.2503 0.7532 0.2533
0.7497 0.2468 0.7467
0.7497 0.7497 0.7464
0.7532 0.2503 0.2533
0.7532 0.7532 0.2592
0.5000 0.5000 0.0000
0.5000 0.5000 0.5000
0.0000 0.0000 0.0000
0.0000 0.0000 0.5000
0.0000 0.5000 0.5000
0.5000 0.0000 0.5000
```

Crystalline TbDy2ErSc5 at its relaxed geometry. Source: the Alexandria database, functional PBE.

Calculated values
Formation enthalpy at 0 K, eV/atom: 0.16
Fermi-level density of states, states/eV/f.u.: 15.90
Space-group type: No. 36

```
TbDy2ErSc5
1.0
2.6609 -9.2216 0.0000
2.6609 9.2216 0.0000
0.0000 0.0000 10.3662
Tb Dy Er Sc
2 4 2 10
Direct
0.2092 0.7908 0.5000
0.7908 0.2092 0.0000
0.1061 0.8939 0.2271
0.1136 0.8864 0.8164
0.8864 0.1136 0.3164
0.8939 0.1061 0.7271
0.4175 0.5825 0.9544
0.5825 0.4175 0.4544
0.0213 0.9788 0.5271
0.2880 0.7120 0.7875
0.2981 0.7019 0.2010
0.4003 0.5997 0.5165
0.4780 0.5220 0.2283
0.5220 0.4780 0.7283
0.5997 0.4003 0.0165
0.7019 0.2981 0.7010
0.7120 0.2880 0.2875
0.9788 0.0213 0.0271
```

Crystalline Tb5DyErSc2 at its relaxed geometry. Source: the Alexandria database, functional PBE.

Calculated values
Formation enthalpy at 0 K, eV/atom: 0.16
Fermi-level density of states, states/eV/f.u.: 13.72
Space-group type: No. 36

```
Tb5DyErSc2
1.0
2.7944 -10.6982 0.0000
2.7944 10.6982 0.0000
0.0000 0.0000 9.3307
Tb Dy Er Sc
10 2 2 4
Direct
0.0118 0.9882 0.5000
0.2655 0.7345 0.8213
0.3057 0.6943 0.2074
0.3918 0.6082 0.5363
0.4684 0.5316 0.2377
0.5316 0.4684 0.7377
0.6082 0.3918 0.0363
0.6943 0.3057 0.7074
0.7345 0.2655 0.3213
0.9882 0.0118 0.0000
0.1844 0.8156 0.5068
0.8156 0.1844 0.0068
0.4014 0.5986 0.9100
0.5986 0.4014 0.4100
0.1136 0.8864 0.8144
0.1339 0.8661 0.1920
0.8661 0.1339 0.6920
0.8864 0.1136 0.3144
```

Crystalline Tb2DyErSc4 at its relaxed geometry. Source: the Alexandria database, functional PBE.

Calculated values
Formation enthalpy at 0 K, eV/atom: 0.05
Fermi-level density of states, states/eV/f.u.: 13.74
Space-group type: No. 123

```
Tb2DyErSc4
1.0
4.8852 0.0000 0.0000
0.0000 4.8852 0.0000
0.0000 0.0000 9.3107
Tb Dy Er Sc
2 1 1 4
Direct
0.0000 0.0000 0.0000
0.5000 0.5000 0.5000
0.0000 0.0000 0.5000
0.5000 0.5000 0.0000
0.0000 0.5000 0.2497
0.0000 0.5000 0.7503
0.5000 0.0000 0.2497
0.5000 0.0000 0.7503
```

Crystalline Tb2Dy3Er6Sc at its relaxed geometry. Source: the Alexandria database, functional PBE.

Calculated values
Formation enthalpy at 0 K, eV/atom: 0.03
Fermi-level density of states, states/eV/f.u.: 16.49
Space-group type: No. 12

```
Tb2Dy3Er6Sc
1.0
3.0342 -5.2506 0.0000
3.0342 5.2506 0.0000
-2.0146 0.0000 11.4396
Tb Dy Er Sc
2 3 6 1
Direct
0.1665 0.8335 0.0000
0.8335 0.1665 0.0000
0.0000 0.0000 0.5000
0.3336 0.6664 0.5000
0.6664 0.3336 0.5000
0.0868 0.4178 0.7520
0.2513 0.2513 0.2482
0.4178 0.0868 0.7520
0.5822 0.9132 0.2480
0.7487 0.7487 0.7518
0.9132 0.5822 0.2480
0.5000 0.5000 0.0000
```

Crystalline TbDyErSc at its relaxed geometry. Source: the Alexandria database, functional PBE.

Calculated values
Formation enthalpy at 0 K, eV/atom: 0.12
Fermi-level density of states, states/eV/f.u.: 7.44
Energy above the most stable polymorph in this dataset, meV per atom: 18
Space-group type: No. 216

```
TbDyErSc
1.0
0.0000 3.9048 3.9048
3.9048 0.0000 3.9048
3.9048 3.9048 0.0000
Tb Dy Er Sc
1 1 1 1
Direct
0.0000 0.0000 0.0000
0.5000 0.5000 0.5000
0.7500 0.7500 0.7500
0.2500 0.2500 0.2500
```

Crystalline Tb2Dy2ErSc at its relaxed geometry. Source: the Alexandria database, functional PBE.

Calculated values
Formation enthalpy at 0 K, eV/atom: 0.07
Fermi-level density of states, states/eV/f.u.: 11.19
Space-group type: No. 51

```
Tb2Dy2ErSc
1.0
6.9183 0.0000 0.0000
0.0000 5.5073 0.0000
0.0000 0.0000 9.5341
Tb Dy Er Sc
4 4 2 2
Direct
0.2500 0.0000 0.1534
0.2500 0.5000 0.6798
0.7500 0.0000 0.8466
0.7500 0.5000 0.3202
0.0000 0.0000 0.5000
0.2500 0.5000 0.3407
0.5000 0.0000 0.5000
0.7500 0.5000 0.6593
0.0000 0.5000 0.0000
0.5000 0.5000 0.0000
0.2500 0.0000 0.8250
0.7500 0.0000 0.1750
```

Crystalline TbDyEr2Sc4 at its relaxed geometry. Source: the Alexandria database, functional PBE.

Calculated values
Formation enthalpy at 0 K, eV/atom: 0.05
Fermi-level density of states, states/eV/f.u.: 13.95
Space-group type: No. 123

```
TbDyEr2Sc4
1.0
4.8649 0.0000 0.0000
0.0000 4.8649 0.0000
0.0000 0.0000 9.3418
Tb Dy Er Sc
1 1 2 4
Direct
0.0000 0.0000 0.0000
0.5000 0.5000 0.5000
0.0000 0.0000 0.5000
0.5000 0.5000 0.0000
0.0000 0.5000 0.2501
0.0000 0.5000 0.7499
0.5000 0.0000 0.2501
0.5000 0.0000 0.7499
```

Mass density list, top to bottom, in g cm⁻³: 7.50 5.72 7.23 6.18 8.45 7.44 7.82 6.28
Total magnetization list, top to bottom, in μB/f.u.: 0.000 0.002 0.000 0.002 0.000 0.000 0.000 0.000